Record 1
{
  "formula": "Pm2MnNi3P4",
  "functional": "PBE-GGA",
  "state": "relaxed",
  "lattice_angstrom": [[-0.090, -2.684, 2.967], [1.609, -2.742, -2.431], [8.506, 2.642, 2.648]],
  "species": ["Pm", "Pm", "Mn", "Ni", "Ni", "Ni", "P", "P", "P", "P"],
  "fractional_positions": [[0.500, 0.000, 0.243], [0.000, 0.500, 0.757], [0.500, 0.500, 0.500], [0.000, 0.000, 0.500], [0.500, 0.000, 0.885], [0.000, 0.500, 0.115], [0.500, 0.500, 0.000], [0.000, 0.000, 0.000], [0.500, 0.000, 0.630], [0.000, 0.500, 0.370]],
  "formation_energy_kj_per_mol_fu": -899,
  "total_magnetization_mub_per_atom": 0.033
}

Record 2
{
  "formula": "LaSmP2",
  "functional": "PBE-GGA",
  "state": "relaxed",
  "lattice_angstrom": [[4.192, 0.013, 0.015], [2.085, 3.637, 0.015], [2.069, 1.203, 6.855]],
  "species": ["La", "Sm", "P", "P"],
  "fractional_positions": [[0.500, 0.500, 0.500], [0.000, 0.000, 0.000], [0.747, 0.747, 0.758], [0.253, 0.253, 0.242]],
  "formation_energy_kj_per_mol_fu": -606,
  "relative_energy_ev_per_atom": 0.000,
  "total_magnetization_mub_per_atom": 0.000
}

Record 3
{
  "formula": "TeWBr2",
  "functional": "PBE-GGA",
  "state": "relaxed",
  "lattice_angstrom": [[-3.950, 5.749, 8.338], [-4.417, 2.749, 9.545], [-1.522, 4.221, 9.901]],
  "species": ["Te", "Br", "Br", "W"],
  "fractional_positions": [[0.250, 0.250, 0.250], [0.026, 0.026, 0.026], [0.474, 0.474, 0.474], [0.750, 0.750, 0.750]],
  "relative_energy_ev_per_atom": 0.329,
  "raw_formation_energy_ev_per_atom": 0.274,
  "total_magnetization_mub_per_atom": 0.000
}